# NiGeNO2 (PBE+U, optimized geometry)
data_NiGeNO2
_space_group_name_H-M_alt 'P 1'
_space_group_IT_number 1
_space_group_name_Hall 'P 1'
_cell_length_a 3.877
_cell_length_b 3.877
_cell_length_c 3.662
_cell_angle_alpha 90.00
_cell_angle_beta 90.00
_cell_angle_gamma 90.00
loop_
_atom_site_label
_atom_site_fract_x
_atom_site_fract_y
_atom_site_fract_z
Ni1 0.000 0.000 0.000
Ge1 0.500 0.500 0.500
O1 0.000 0.500 0.000
O2 0.500 0.000 0.000
N1 0.000 0.000 0.500
# VASP energy, eV per atom: -4.6659